Entry 1:
Density functional theory data (GGA-PBE) for BaLiAs2 after structural relaxation.

## Properties
- ΔE to the lowest computed polymorph (meV/atom) = 561
- electronic total energy (eV/atom) = -3.53
- theoretical density (g/cm³) = 4.74
- Fermi-level density of states (states/eV per cell) = 2.88

Cell: 3.846 3.846 6.970 Å, 90.00 90.00 90.00°
Space group P4mm (No. 99)
Inequivalent atoms, fractional coordinates:
Ba 0.000 0.000 0.000 [1 per cell]
Li 0.500 0.500 0.362 [1 per cell]
As 0.000 0.000 0.536 [1 per cell]
As 0.500 0.500 0.704 [1 per cell]

Entry 2:
Density functional theory data (GGA-PBE) for Ba2LiAs after structural relaxation.

## Properties
- electronic total energy (eV/atom) = -3.16
- theoretical density (g/cm³) = 3.19
- Fermi-level density of states (states/eV per cell) = 1.89

Cell: 8.299 4.789 9.732 Å, 90.00 106.30 90.00°
Space group C2/m (No. 12)
Inequivalent atoms, fractional coordinates:
Ba 0.228 0.000 0.187 [4 per cell]
Li 0.000 0.000 0.500 [2 per cell]
As 0.000 0.500 0.000 [2 per cell]